Density functional theory data (GGA-PBE) for a relaxed LaSiAs2Br crystal.

Calculated values
Uncorrected energy: -4.664 eV per atom

a b c (Å): 4.8731 4.8731 5.1509
angles (deg): 90.00 90.00 90.00
Atoms (fractional coordinates):
La 0.0000 0.0000 0.0000
Si 0.5000 0.5000 0.5000
As 0.0000 0.5000 0.5000
As 0.5000 0.0000 0.5000
Br 0.5000 0.5000 0.0000